Entry from Alexandria via LeMat-Bulk: crystalline AgBi2Pd7Pb2 at its relaxed geometry (PBE-GGA).

Properties
Magnetic moment   0.0000 μB per atom
D(E_F)   15.871 states/eV per cell
ρ   11.13 g/cm³
E_form   -1.3 eV/f.u.
E   -111.4 eV/cell

a = 5.6883 Å, b = 5.6514 Å, c = 15.7372 Å
α = 90.00°, β = 96.39°, γ = 90.00°
Last column: nearest neighbours and their distance in Å.
Space group C2/m (No. 12)
Symmetry-distinct sites (fractional):
Ag1 0.0000 0.0000 0.0000 x2  12 Pd 2.83-2.85
Bi1 0.1347 0.0000 0.3966 x4  5 Pd 2.77-2.98
Pd1 0.0000 0.5000 0.0000 x2  4 Ag 2.83-2.84, 8 Pd 2.85
Pd2 0.1593 0.5000 0.4354 x4  5 Bi 2.77-2.98, 1 Pd 2.87, 1 Pb 2.87
Pd3 0.2091 0.2502 0.8705 x8  2 Pb 2.77, 6 Pd 2.82-2.85, 2 Ag 2.85
Pb1 0.0798 0.5000 0.2518 x4  5 Pd 2.77-2.87

Entry from Alexandria via LeMat-Bulk: crystalline PmAgBiPb at its relaxed geometry (PBE-GGA).

Properties
Magnetic moment   0.0000 μB per atom
D(E_F)   7.838 states/eV per cell
ρ   9.81 g/cm³
E_form   -0.9 eV/f.u.
E   -64.4 eV/cell

a = 7.6809 Å, b = 7.6809 Å, c = 7.6809 Å
α = 90.00°, β = 90.00°, γ = 90.00°
Last column: nearest neighbours and their distance in Å.
Space group F-43m (No. 216)
Symmetry-distinct sites (fractional):
Pm1 0.0000 0.0000 0.0000 x4  4 Bi 3.33, 4 Ag 3.33
Ag1 0.2500 0.2500 0.7500 x4  4 Pb 3.33, 4 Pm 3.33
Bi1 0.2500 0.2500 0.2500 x4  4 Pb 3.33, 4 Pm 3.33
Pb1 0.0000 0.0000 0.5000 x4  4 Bi 3.33, 4 Ag 3.33

Entry from Alexandria via LeMat-Bulk: crystalline Rb2AgBi3Pb4 at its relaxed geometry (PBE-GGA).

Properties
Magnetic moment   0.0000 μB per atom
D(E_F)   3.438 states/eV per cell
ρ   7.50 g/cm³
E_form   -1.1 eV/f.u.
E   -32.3 eV/cell

a = 5.3634 Å, b = 5.3634 Å, c = 13.3581 Å
α = 90.00°, β = 90.00°, γ = 90.00°
Last column: nearest neighbours and their distance in Å.
Space group P-4m2 (No. 115)
Symmetry-distinct sites (fractional):
Rb1 0.0000 0.5000 0.2360 x2  8 Pb 4.10-4.43, 6 Bi 4.12-4.14, 2 Ag 4.14
Ag1 0.5000 0.5000 0.0000 x1  4 Pb 3.12
Bi1 0.0000 0.0000 0.0000 x1  4 Pb 3.12
Bi2 0.0000 0.5000 0.6440 x2  5 Pb 3.17-3.30
Pb1 0.0000 0.0000 0.5000 x1  4 Bi 3.30
Pb2 0.0000 0.5000 0.8813 x2  3 Bi 3.12-3.17, 2 Ag 3.12
Pb3 0.5000 0.5000 0.5000 x1  4 Bi 3.30